one | Below is crystalline PI4 at its relaxed geometry, with properties calculated at the PBE-GGA level.

* SG: C2/c
* size of the total moment: 0.00 μB per formula unit

Unit cell a=9.770 b=9.770 c=6.829 alpha=106.58 beta=106.58 gamma=80.40
Sites, in units of the cell vectors:
P  0.242  0.758  0.750
P  0.758  0.242  0.250
I  0.014  0.755  0.853
I  0.245  0.986  0.647
I  0.249  0.541  0.446
I  0.459  0.751  0.054
I  0.541  0.249  0.946
I  0.751  0.459  0.554
I  0.755  0.014  0.353
I  0.986  0.245  0.147

two | Below is crystalline PI4 at its relaxed geometry, with properties calculated at the PBE-GGA level.

* SG: Pm-3m
* size of the total moment: 0.79 μB per formula unit

Unit cell a=5.574 b=5.574 c=5.574 alpha=90.00 beta=90.00 gamma=90.00
Sites, in units of the cell vectors:
P  0.000  0.000  0.000
I  0.000  0.000  0.500
I  0.000  0.500  0.000
I  0.500  0.000  0.000
I  0.500  0.500  0.500

What should be chosen as the most stable of them? Choose one.

one | Below is crystalline PPbI2 at its relaxed geometry, with properties calculated at the PBE-GGA level.

* SG: Fm-3m
* size of the total moment: 2.48 μB per formula unit

Unit cell a=7.961 b=7.961 c=7.961 alpha=90.00 beta=90.00 gamma=90.00
Sites, in units of the cell vectors:
P  0.000  0.000  0.000
P  0.000  0.500  0.500
P  0.500  0.000  0.500
P  0.500  0.500  0.000
Pb  0.000  0.000  0.500
Pb  0.000  0.500  0.000
Pb  0.500  0.000  0.000
Pb  0.500  0.500  0.500
I  0.250  0.250  0.250
I  0.250  0.250  0.750
I  0.250  0.750  0.250
I  0.250  0.750  0.750
I  0.750  0.250  0.250
I  0.750  0.250  0.750
I  0.750  0.750  0.250
I  0.750  0.750  0.750

two | Below is crystalline PPbI2 at its relaxed geometry, with properties calculated at the PBE-GGA level.

* SG: I-42d
* size of the total moment: 0.00 μB per formula unit

Unit cell a=5.354 b=5.354 c=19.887 alpha=90.00 beta=90.00 gamma=90.00
Sites, in units of the cell vectors:
P  0.000  0.000  0.000
P  0.000  0.500  0.250
P  0.500  0.000  0.750
P  0.500  0.500  0.500
Pb  0.000  0.000  0.500
Pb  0.000  0.500  0.750
Pb  0.500  0.000  0.250
Pb  0.500  0.500  0.000
I  0.220  0.250  0.125
I  0.250  0.720  0.375
I  0.250  0.780  0.875
I  0.280  0.250  0.625
I  0.720  0.750  0.625
I  0.750  0.220  0.875
I  0.750  0.280  0.375
I  0.780  0.750  0.125

What should be chosen as the most stable of them? Choose two.